Entry 1:
Computed, not measured: an optimized crystal structure of LaEr9Tm2 at the PBE level of DFT.

Properties
space-group type = P4/mmm
energy = -4.5471 eV per atom
formation enthalpy at 0 K = 30.9 meV per atom

The structure in POSCAR format:
```
LaEr9Tm2
1.0
4.984 0.000 0.000
0.000 4.984 0.000
0.000 0.000 14.983
Er Tm La
9 2 1
direct
0.500 0.000 0.829 Er
0.000 0.500 0.829 Er
0.500 0.500 0.664 Er
0.500 0.000 0.171 Er
0.500 0.000 0.500 Er
0.000 0.500 0.500 Er
0.000 0.500 0.171 Er
0.500 0.500 0.336 Er
0.500 0.500 0.000 Er
0.000 0.000 0.335 Tm
0.000 0.000 0.665 Tm
0.000 0.000 0.000 La
```

***

Entry 2:
Computed, not measured: an optimized crystal structure of MgOsRu at the PBE level of DFT.

Properties
space-group type = I4mm
energy = -7.2961 eV per atom
relative energy among the computed polymorphs = 0 meV per atom
formation enthalpy at 0 K = 70.7 meV per atom

The structure in POSCAR format:
```
MgOsRu
1.0
6.091 0.010 0.000
4.773 3.783 0.000
-5.432 -1.897 1.998
Ru Mg Os
1 1 1
direct
0.679 0.679 0.000 Ru
0.000 0.000 0.000 Mg
0.321 0.321 0.000 Os
```

***

Entry 3:
Computed, not measured: an optimized crystal structure of Pm2Er2TmSc2 at the PBE level of DFT.

Properties
space-group type = C2/m
energy = -4.9576 eV per atom
formation enthalpy at 0 K = 151.2 meV per atom

The structure in POSCAR format:
```
Pm2Er2TmSc2
1.0
3.393 0.000 0.000
-1.696 8.216 -0.786
0.000 -3.114 7.908
Tm Er Pm Sc
1 2 2 2
direct
0.000 0.000 0.500 Tm
0.918 0.835 0.791 Er
0.082 0.165 0.209 Er
0.362 0.724 0.093 Pm
0.638 0.276 0.907 Pm
0.778 0.555 0.360 Sc
0.222 0.445 0.640 Sc
```

***

Entry 4:
Computed, not measured: an optimized crystal structure of NaYMg2Cl8 at the PBE level of DFT.

Properties
space-group type = P2/m
energy = -4.0940 eV per atom
formation energy from raw total energies = -188 kJ per mole of atoms

The structure in POSCAR format:
```
NaYMg2Cl8
1.0
6.276 -0.012 -0.004
0.048 6.171 -0.007
0.006 0.009 7.814
Mg Cl Y Na
2 8 1 1
direct
0.500 0.500 0.264 Mg
0.500 0.500 0.736 Mg
0.803 0.225 0.239 Cl
0.803 0.225 0.761 Cl
0.327 0.301 0.500 Cl
0.673 0.699 0.500 Cl
0.321 0.296 0.000 Cl
0.197 0.775 0.239 Cl
0.679 0.704 0.000 Cl
0.197 0.775 0.761 Cl
0.000 0.000 0.000 Y
0.000 0.000 0.500 Na
```